A plane-wave DFT calculation with GGA-PBE was carried out for an optimized crystal structure of CsTlTe.

Unit cell a=11.763 b=15.279 c=8.799 alpha=90.00 beta=90.00 gamma=90.00
Space group Ima2 (No. 46)
Asymmetric unit:
Cs 0.250 0.000 0.000
Cs 0.250 0.209 0.362
Cs 0.250 0.723 0.844
Tl 0.000 0.000 0.327
Tl 0.003 0.121 0.690
Te 0.002 0.166 0.069
Te 0.250 0.514 0.069

## Properties
Electronic total energy in eV for the cell shown: -100.90
M_tot in μB per formula unit: 0.00
ΔE_f (raw) in eV per atom: -0.68
Energy above the lowest structure with this stoichiometry in meV per atom: 16

=====

A plane-wave DFT calculation with GGA-PBE was carried out for an optimized crystal structure of CsTlTe.

Unit cell a=4.403 b=4.403 c=12.937 alpha=90.00 beta=90.00 gamma=90.00
Space group I4mm (No. 107)
Asymmetric unit:
Cs 0.000 0.000 0.000
Tl 0.000 0.000 0.293
Te 0.000 0.000 0.689

## Properties
Electronic total energy in eV for the cell shown: -16.34
M_tot in μB per formula unit: 0.00
ΔE_f (raw) in eV per atom: -0.60
Energy above the lowest structure with this stoichiometry in meV per atom: 96

=====

A plane-wave DFT calculation with GGA-PBE was carried out for an optimized crystal structure of Cs5Tl2Te4.

Unit cell a=19.219 b=5.901 c=10.257 alpha=90.00 beta=93.40 gamma=90.00
Space group C2/m (No. 12)
Asymmetric unit:
Cs 0.000 0.000 0.000
Cs 0.157 0.500 0.508
Cs 0.159 0.500 0.977
Tl 0.030 0.000 0.648
Te 0.012 0.500 0.250
Te 0.183 0.000 0.747

## Properties
Electronic total energy in eV for the cell shown: -60.29
M_tot in μB per formula unit: 0.00
ΔE_f (raw) in eV per atom: -0.78

=====

A plane-wave DFT calculation with GGA-PBE was carried out for an optimized crystal structure of Cs2TlTe2.

Unit cell a=9.196 b=9.196 c=5.631 alpha=90.00 beta=90.00 gamma=90.00
Space group P4/mbm (No. 127)
Asymmetric unit:
Cs 0.156 0.344 0.000
Tl 0.000 0.000 0.500
Te 0.140 0.640 0.500

## Properties
Electronic total energy in eV for the cell shown: -26.72
M_tot in μB per formula unit: 1.04
ΔE_f (raw) in eV per atom: -0.60
Energy above the lowest structure with this stoichiometry in meV per atom: 0

=====

A plane-wave DFT calculation with GGA-PBE was carried out for an optimized crystal structure of Cs2TlTe3.

Unit cell a=15.394 b=11.104 c=6.615 alpha=90.00 beta=90.00 gamma=90.00
Space group Cmc2_1 (No. 36)
Asymmetric unit:
Cs 0.147 0.169 0.000
Tl 0.000 0.384 0.501
Te 0.000 0.129 0.500
Te 0.149 0.500 0.251

## Properties
Electronic total energy in eV for the cell shown: -69.08
M_tot in μB per formula unit: 0.00
ΔE_f (raw) in eV per atom: -0.63

=====

A plane-wave DFT calculation with GGA-PBE was carried out for an optimized crystal structure of CsTl2Te4.

Unit cell a=20.035 b=7.357 c=7.613 alpha=90.00 beta=93.22 gamma=90.00
Space group C2/c (No. 15)
Asymmetric unit:
Cs 0.000 0.199 0.250
Tl 0.188 0.363 0.132
Te 0.074 0.303 0.763
Te 0.184 0.173 0.551

## Properties
Electronic total energy in eV for the cell shown: -83.32
M_tot in μB per formula unit: 0.00
ΔE_f (raw) in eV per atom: -0.38

=====

A plane-wave DFT calculation with GGA-PBE was carried out for an optimized crystal structure of CsTlTe.

Unit cell a=8.670 b=5.226 c=12.884 alpha=90.00 beta=90.00 gamma=90.00
Space group Pnma (No. 62)
Asymmetric unit:
Cs 0.146 0.250 0.133
Tl 0.013 0.750 0.368
Te 0.212 0.250 0.434

## Properties
Electronic total energy in eV for the cell shown: -33.83
M_tot in μB per formula unit: 0.00
ΔE_f (raw) in eV per atom: -0.70
Energy above the lowest structure with this stoichiometry in meV per atom: 0

=====

A plane-wave DFT calculation with GGA-PBE was carried out for an optimized crystal structure of Cs3Tl4Te4.

Unit cell a=10.069 b=10.069 c=10.069 alpha=90.00 beta=90.00 gamma=90.00
Space group I-43m (No. 217)
Asymmetric unit:
Cs 0.000 0.000 0.500
Tl 0.133 0.133 0.133
Te 0.188 0.188 0.812

## Properties
Electronic total energy in eV for the cell shown: -62.57
M_tot in μB per formula unit: 0.00
ΔE_f (raw) in eV per atom: -0.61
Energy above the lowest structure with this stoichiometry in meV per atom: 0

=====

The evaluated density for the records listed, in turn: 5.86; 6.16; 4.53; 5.06; 5.01; 6.24; 5.29; 5.62 g/cm3.